[1]
{"formula": "BaInMo2", "functional": "PBE", "state": "optimized geometry", "crystal_system": "orthorhombic", "polymorph_energy_mev_per_atom": 286, "cell": [[-1.778, 2.418, 6.414], [1.778, -2.418, 6.414], [1.778, 2.418, -6.414]], "species": ["Ba", "In", "Mo", "Mo"], "frac_coords": [[0.000, 0.000, 0.000], [0.258, 0.758, 0.500], [0.632, 0.632, 0.000], [0.757, 0.257, 0.500]]}



[2]
{"formula": "Ba4InMo", "functional": "PBE", "state": "optimized geometry", "crystal_system": "cubic", "cell": [[0.000, 5.074, 5.074], [5.074, 0.000, 5.074], [5.074, 5.074, 0.000]], "species": ["Ba", "Ba", "Ba", "Ba", "In", "Mo"], "frac_coords": [[0.125, 0.125, 0.125], [0.125, 0.125, 0.626], [0.125, 0.626, 0.125], [0.626, 0.125, 0.125], [0.750, 0.750, 0.750], [0.500, 0.500, 0.500]]}



[3]
{"formula": "BaIn3Mo", "functional": "PBE", "state": "optimized geometry", "crystal_system": "cubic", "polymorph_energy_mev_per_atom": 0, "cell": [[5.349, 0.000, 0.000], [0.000, 5.349, 0.000], [0.000, 0.000, 5.349]], "species": ["Ba", "In", "In", "In", "Mo"], "frac_coords": [[0.000, 0.000, 0.000], [0.000, 0.500, 0.500], [0.500, 0.000, 0.500], [0.500, 0.500, 0.000], [0.500, 0.500, 0.500]]}



[4]
{"formula": "BaInMo2", "functional": "PBE", "state": "optimized geometry", "crystal_system": "orthorhombic", "polymorph_energy_mev_per_atom": 845, "cell": [[3.395, 0.000, 0.000], [0.000, 4.903, 0.000], [0.000, 0.000, 5.296]], "species": ["Ba", "In", "Mo", "Mo"], "frac_coords": [[0.000, 0.000, 0.000], [0.500, 0.000, 0.500], [0.000, 0.500, 0.500], [0.500, 0.500, 0.000]]}



[5]
{"formula": "BaInMo2", "functional": "PBE", "state": "optimized geometry", "crystal_system": "cubic", "polymorph_energy_mev_per_atom": 866, "cell": [[0.000, 3.488, 3.488], [3.488, 0.000, 3.488], [3.488, 3.488, 0.000]], "species": ["Ba", "In", "Mo", "Mo"], "frac_coords": [[0.000, 0.000, 0.000], [0.500, 0.500, 0.500], [0.250, 0.250, 0.250], [0.750, 0.750, 0.750]]}



[6]
{"formula": "Ba2InMo", "functional": "PBE", "state": "optimized geometry", "crystal_system": "cubic", "polymorph_energy_mev_per_atom": 174, "cell": [[0.000, 4.024, 4.024], [4.024, 0.000, 4.024], [4.024, 4.024, 0.000]], "species": ["Ba", "Ba", "In", "Mo"], "frac_coords": [[0.000, 0.000, 0.000], [0.250, 0.250, 0.250], [0.500, 0.500, 0.500], [0.750, 0.750, 0.750]]}



[7]
{"formula": "BaIn2Mo2", "functional": "PBE", "state": "optimized geometry", "crystal_system": "tetragonal", "polymorph_energy_mev_per_atom": 0, "cell": [[8.722, 0.000, 0.000], [0.000, 8.722, 0.000], [0.000, 0.000, 3.087]], "species": ["Ba", "Ba", "In", "In", "In", "In", "Mo", "Mo", "Mo", "Mo"], "frac_coords": [[0.000, 0.000, 0.000], [0.500, 0.500, 0.000], [0.185, 0.315, 0.500], [0.315, 0.815, 0.500], [0.685, 0.185, 0.500], [0.815, 0.685, 0.500], [0.095, 0.595, 0.000], [0.405, 0.095, 0.000], [0.595, 0.905, 0.000], [0.905, 0.405, 0.000]]}



[8]
{"formula": "BaInMo2", "functional": "PBE", "state": "optimized geometry", "crystal_system": "tetragonal", "polymorph_energy_mev_per_atom": 1136, "cell": [[-4.153, 4.153, 2.914], [4.153, -4.153, 2.914], [4.153, 4.153, -2.914]], "species": ["Ba", "Ba", "In", "In", "Mo", "Mo", "Mo", "Mo"], "frac_coords": [[0.000, 0.000, 0.000], [0.750, 0.250, 0.500], [0.250, 0.750, 0.500], [0.500, 0.500, 0.000], [0.168, 0.625, 0.043], [0.375, 0.418, 0.543], [0.582, 0.125, 0.957], [0.875, 0.832, 0.457]]}



[9]
{"formula": "BaInMo2", "functional": "PBE", "state": "optimized geometry", "crystal_system": "orthorhombic", "polymorph_energy_mev_per_atom": 887, "cell": [[3.181, -4.864, 0.000], [3.181, 4.864, 0.000], [0.000, 0.000, 2.871]], "species": ["Ba", "In", "Mo", "Mo"], "frac_coords": [[0.000, 0.000, 0.000], [0.500, 0.500, 0.000], [0.000, 0.500, 0.500], [0.500, 0.000, 0.500]]}



[10]
{"formula": "Ba2InMo", "functional": "PBE", "state": "optimized geometry", "crystal_system": "trigonal", "polymorph_energy_mev_per_atom": 376, "cell": [[1.917, 1.107, 10.861], [-1.917, 1.107, 10.861], [0.000, -2.213, 10.861]], "species": ["Ba", "Ba", "In", "Mo"], "frac_coords": [[0.242, 0.242, 0.242], [0.758, 0.758, 0.758], [0.000, 0.000, 0.000], [0.500, 0.500, 0.500]]}



[11]
{"formula": "BaInMo2", "functional": "PBE", "state": "optimized geometry", "crystal_system": "monoclinic", "polymorph_energy_mev_per_atom": 319, "cell": [[3.327, 0.000, 0.000], [0.000, 5.190, 0.000], [-0.895, 0.000, 6.461]], "species": ["Ba", "In", "Mo", "Mo"], "frac_coords": [[0.000, 0.000, 0.000], [0.500, 0.000, 0.500], [0.290, 0.500, 0.633], [0.710, 0.500, 0.367]]}



[12]
{"formula": "Ba2InMo", "functional": "PBE", "state": "optimized geometry", "crystal_system": "orthorhombic", "polymorph_energy_mev_per_atom": 197, "cell": [[4.093, -4.097, 0.000], [4.093, 4.097, 0.000], [0.000, 0.000, 4.338]], "species": ["Ba", "Ba", "In", "Mo"], "frac_coords": [[0.000, 0.500, 0.000], [0.500, 0.000, 0.000], [0.000, 0.000, 0.500], [0.500, 0.500, 0.500]]}



[13]
{"formula": "Ba2InMo", "functional": "PBE", "state": "optimized geometry", "crystal_system": "tetragonal", "polymorph_energy_mev_per_atom": 0, "cell": [[3.857, 0.000, 0.000], [0.000, 3.857, 0.000], [0.000, 0.000, 9.553]], "species": ["Ba", "Ba", "In", "Mo"], "frac_coords": [[0.000, 0.000, 0.000], [0.500, 0.500, 0.412], [0.000, 0.000, 0.658], [0.500, 0.500, 0.741]]}



[14]
{"formula": "BaInMo2", "functional": "PBE", "state": "optimized geometry", "crystal_system": "monoclinic", "polymorph_energy_mev_per_atom": 258, "cell": [[5.133, -1.707, 0.000], [5.133, 1.707, 0.000], [-1.059, 0.000, 6.235]], "species": ["Ba", "In", "Mo", "Mo"], "frac_coords": [[0.000, 0.000, 0.000], [0.500, 0.500, 0.500], [0.231, 0.231, 0.625], [0.769, 0.769, 0.375]]}



[15]
{"formula": "BaInMo2", "functional": "PBE", "state": "optimized geometry", "crystal_system": "cubic", "polymorph_energy_mev_per_atom": 690, "cell": [[0.000, 3.597, 3.597], [3.597, 0.000, 3.597], [3.597, 3.597, 0.000]], "species": ["Ba", "In", "Mo", "Mo"], "frac_coords": [[0.000, 0.000, 0.000], [0.250, 0.250, 0.250], [0.500, 0.500, 0.500], [0.750, 0.750, 0.750]]}



[16]
{"formula": "BaInMo2", "functional": "PBE", "state": "optimized geometry", "crystal_system": "monoclinic", "polymorph_energy_mev_per_atom": 207, "cell": [[4.261, -1.611, 0.000], [4.261, 1.611, 0.000], [-0.892, 0.000, 7.489]], "species": ["Ba", "In", "Mo", "Mo"], "frac_coords": [[0.000, 0.000, 0.000], [0.758, 0.758, 0.349], [0.224, 0.224, 0.677], [0.500, 0.500, 0.557]]}



[17]
{"formula": "Ba2InMo", "functional": "PBE", "state": "optimized geometry", "crystal_system": "orthorhombic", "polymorph_energy_mev_per_atom": 43, "cell": [[4.851, 0.000, 0.000], [0.000, 2.542, 6.351], [0.000, -2.542, 6.351]], "species": ["Ba", "Ba", "In", "Mo"], "frac_coords": [[0.000, 0.000, 0.000], [0.500, 0.287, 0.287], [0.000, 0.702, 0.702], [0.500, 0.593, 0.593]]}



[18]
{"formula": "BaIn2Mo2", "functional": "PBE", "state": "optimized geometry", "crystal_system": "tetragonal", "polymorph_energy_mev_per_atom": 28, "cell": [[-2.503, 2.503, 5.242], [2.503, -2.503, 5.242], [2.503, 2.503, -5.242]], "species": ["Ba", "In", "In", "Mo", "Mo"], "frac_coords": [[0.000, 0.000, 0.000], [0.250, 0.750, 0.500], [0.750, 0.250, 0.500], [0.398, 0.398, 0.000], [0.602, 0.602, 0.000]]}



[19]
{"formula": "BaInMo2", "functional": "PBE", "state": "optimized geometry", "crystal_system": "orthorhombic", "polymorph_energy_mev_per_atom": 663, "cell": [[1.941, -2.221, 0.000], [1.941, 2.221, 0.000], [0.000, 0.000, 10.226]], "species": ["Ba", "In", "Mo", "Mo"], "frac_coords": [[0.000, 0.000, 0.000], [0.000, 0.000, 0.500], [0.500, 0.500, 0.287], [0.500, 0.500, 0.713]]}



[20]
{"formula": "Ba2InMo", "functional": "PBE", "state": "optimized geometry", "crystal_system": "tetragonal", "polymorph_energy_mev_per_atom": 289, "cell": [[3.396, 0.000, 0.000], [0.000, 3.396, 0.000], [0.000, 0.000, 10.745]], "species": ["Ba", "Ba", "In", "Mo"], "frac_coords": [[0.000, 0.000, 0.232], [0.000, 0.000, 0.768], [0.500, 0.500, 0.500], [0.500, 0.500, 0.000]]}



The records above give, respectively, formation energy from the elements values of 62, 91, -5, 116, 118, 59, 35, 144, 120, 78, 65, 61, 42, 59, 101, 54, 46, 37, 98, 70 kJ per mole of atoms.